# TiPt2Pb PBE-GGA optimized geometry
data_TiPt2Pb
_chemical_formula_sum 'Ti1 Pt2 Pb1'
_space_group_name_H-M_alt 'P 4/m m m'
_space_group_IT_number 123
_space_group_name_Hall '-P 4 2'
_cell_length_a 3.277
_cell_length_b 3.277
_cell_length_c 7.024
_cell_angle_alpha 90.00
_cell_angle_beta 90.00
_cell_angle_gamma 90.00
loop_
_atom_site_label
_atom_site_fract_x
_atom_site_fract_y
_atom_site_fract_z
_atom_site_occupancy
Ti1 0.000 0.000 0.000 1
Pt1 0.500 0.500 0.197 1
Pb1 0.000 0.000 0.500 1
# **DFT formation energy**: -563 meV per atom
# **Raw total energy**: -6.48 eV/atom

# Ti2PtPb2 PBE-GGA optimized geometry
data_Ti2PtPb2
_chemical_formula_sum 'Ti4 Pt2 Pb4'
_space_group_name_H-M_alt 'I 4/m m m'
_space_group_IT_number 139
_space_group_name_Hall '-I 4 2'
_cell_length_a 4.112
_cell_length_b 4.112
_cell_length_c 13.045
_cell_angle_alpha 90.00
_cell_angle_beta 90.00
_cell_angle_gamma 90.00
loop_
_atom_site_label
_atom_site_fract_x
_atom_site_fract_y
_atom_site_fract_z
_atom_site_occupancy
Ti1 0.000 0.000 0.079 1
Pt1 0.000 0.000 0.500 1
Pb1 0.000 0.500 0.250 1
# **DFT formation energy**: 457 meV per atom
# **Raw total energy**: -5.39 eV/atom
# **Energy above the lowest structure with this stoichiometry**: 0.515 eV/atom

# Ti2Pt2Pb PBE-GGA optimized geometry
data_Ti2Pt2Pb
_chemical_formula_sum 'Ti2 Pt2 Pb1'
_space_group_name_H-M_alt 'P 1 2/m 1'
_space_group_IT_number 10
_cell_length_a 4.236
_cell_length_b 3.102
_cell_length_c 7.471
_cell_angle_alpha 90.00
_cell_angle_beta 106.31
_cell_angle_gamma 90.00
loop_
_space_group_symop_operation_xyz
'x,y,z'
'-x,-y,-z'
'-x,y,-z'
'x,-y,z'
loop_
_atom_site_label
_atom_site_fract_x
_atom_site_fract_y
_atom_site_fract_z
_atom_site_occupancy
Ti1 0.144 0.000 0.286 1
Pt1 0.306 0.500 0.614 1
Pb1 0.500 0.500 0.000 1
# **DFT formation energy**: -501 meV per atom
# **Raw total energy**: -6.82 eV/atom

# TiPtPb2 PBE-GGA optimized geometry
data_TiPtPb2
_chemical_formula_sum 'Ti4 Pt4 Pb8'
_space_group_name_H-M_alt 'I -4 2 d'
_space_group_IT_number 122
_space_group_name_Hall 'I -4 2bw'
_cell_length_a 7.782
_cell_length_b 7.782
_cell_length_c 6.107
_cell_angle_alpha 90.00
_cell_angle_beta 90.00
_cell_angle_gamma 90.00
loop_
_atom_site_label
_atom_site_fract_x
_atom_site_fract_y
_atom_site_fract_z
_atom_site_occupancy
Ti1 0.000 0.000 0.000 1
Pt1 0.000 0.000 0.500 1
Pb1 0.229 0.250 0.625 1
# **DFT formation energy**: 198 meV per atom
# **Raw total energy**: -5.14 eV/atom
# **Energy above the lowest structure with this stoichiometry**: 0.088 eV/atom